NaPrErSn (PBE, relaxed); energy of formation = -279 meV/atom; energy = -15.8 eV per formula unit; symmetry = F-43m, No. 216
1.0
5.4109 0.0000 0.0000
2.7054 4.6860 0.0000
2.7054 1.5620 4.4180
Pr Na Sn Er
1 1 1 1
direct
0.5000 0.5000 0.5000
0.7500 0.7500 0.7500
0.2500 0.2500 0.2500
0.0000 0.0000 0.0000

Na3PrEr2Te6 (PBE, relaxed); E_form (uncorrected) = -1.309 eV/atom; energy = -52.4 eV per formula unit; symmetry = C2/m, No. 12
1.0
7.7258 -0.0019 -0.0014
-3.8627 6.6909 -0.0014
-1.2897 -2.2332 7.5685
Na Pr Er Te
3 1 2 6
direct
0.1631 0.8369 0.5000
0.8369 0.1631 0.5000
0.5000 0.5000 0.5000
0.0000 0.0000 0.0000
0.3328 0.6672 0.0000
0.6672 0.3328 0.0000
0.9218 0.5775 0.7664
0.7332 0.7332 0.2333
0.0782 0.4225 0.2336
0.5775 0.9218 0.7664
0.2668 0.2668 0.7667
0.4225 0.0782 0.2336